TaTcRuW after structural relaxation. Source: the Alexandria database, functional PBE.

Summary:
The calculation puts the formation energy at -0.077 eV per atom. Its space-group type is F-43m, No. 216. The value obtained for the total moment is 0.00 Bohr magnetons per cell. The value obtained for the calculated volume is 15.668 Å³/atom.

a b c (Å): 4.459 4.459 4.459
angles (deg): 60.00 60.00 60.00
Sites, in units of the cell vectors:
W 0.500 0.500 0.500
Ru 0.750 0.750 0.750
Ta 0.000 0.000 0.000
Tc 0.250 0.250 0.250